## one
# TaTi3Te

A geometry-optimized TaTi3Te structure (PBE, the Alexandria database).

Properties
Total magnetization (μB per atom): 0.000

Cell: 4.8643 4.8643 4.8643 Å, 90.00 90.00 90.00°
Space group Pm-3m (No. 221)
Symmetry-distinct sites (fractional):
1 Ta 0.0000 0.0000 0.0000
2 Ti 0.0000 0.5000 0.5000
3 Te 0.5000 0.5000 0.5000

=====

## two
# TaTi3Te

A geometry-optimized TaTi3Te structure (PBE, the Alexandria database).

Properties
Total magnetization (μB per atom): 0.324

Cell: 4.8628 4.8628 4.8628 Å, 90.00 90.00 90.00°
Space group Pm-3m (No. 221)
Symmetry-distinct sites (fractional):
1 Ta 0.0000 0.0000 0.0000
2 Ti 0.0000 0.0000 0.5000
3 Te 0.5000 0.5000 0.5000

=====

Q: Which of them is the most stable? A: two.

=====

## one
# TaTiTe3

A geometry-optimized TaTiTe3 structure (PBE, the Alexandria database).

Properties
Total magnetization (μB per atom): 0.158

Cell: 7.4982 10.3330 7.4081 Å, 90.00 90.00 90.00°
Space group Pnma (No. 62)
Symmetry-distinct sites (fractional):
1 Ta 0.2235 0.2500 0.0473
2 Ti 0.0000 0.0000 0.0000
3 Te 0.1312 0.7500 0.8899
4 Te 0.1702 0.5601 0.3357

=====

## two
# TaTiTe3

A geometry-optimized TaTiTe3 structure (PBE, the Alexandria database).

Properties
Total magnetization (μB per atom): 0.049

Cell: 5.3851 5.3851 5.3851 Å, 90.00 90.00 90.00°
Space group Pm-3m (No. 221)
Symmetry-distinct sites (fractional):
1 Ta 0.0000 0.0000 0.0000
2 Ti 0.5000 0.5000 0.5000
3 Te 0.0000 0.0000 0.5000

=====

Q: Which of them is the most stable? A: one.

=====

## one
# TaTiTe2

A geometry-optimized TaTiTe2 structure (PBE, the Alexandria database).

Properties
Total magnetization (μB per atom): 0.567

Cell: 3.4953 3.4953 28.2538 Å, 90.00 90.00 120.00°
Space group R-3m (No. 166, hexagonal axes)
Symmetry-distinct sites (fractional):
1 Ta 0.0000 0.0000 0.0000
2 Ti 0.0000 0.0000 0.5000
3 Te 0.0000 0.0000 0.4018

=====

## two
# TaTiTe2

A geometry-optimized TaTiTe2 structure (PBE, the Alexandria database).

Properties
Total magnetization (μB per atom): 0.222

Cell: 6.8434 6.8434 6.8434 Å, 90.00 90.00 90.00°
Space group Fm-3m (No. 225)
Symmetry-distinct sites (fractional):
1 Ta 0.0000 0.0000 0.0000
2 Ti 0.0000 0.0000 0.5000
3 Te 0.2500 0.2500 0.2500

=====

Q: Which of them is the most stable? A: two.